The following is a PBE calculation of a geometry-optimized Ca3Hg structure, from the Alexandria database.

Lattice parameters (Å, degrees): 7.1759 17.3079 6.5338 90.00 90.00 90.00
Closest atoms and distances in Å follow each position.
Element x y z (fractional)
Ca  0.0019  0.0636  0.2355  2 Hg 3.31-3.34, 5 Ca 3.56-3.69
Ca  0.0019  0.4364  0.2355  2 Hg 3.31-3.34, 5 Ca 3.56-3.69
Ca  0.0130  0.7500  0.9966  3 Hg 3.08-3.39, 1 Ca 3.40
Ca  0.2500  0.1207  0.7063  1 Hg 3.11
Ca  0.2500  0.3793  0.7063  1 Hg 3.11
Ca  0.2500  0.7500  0.4873  4 Hg 3.30-3.70, 2 Ca 3.63
Ca  0.4870  0.7500  0.9966  3 Hg 3.08-3.39, 1 Ca 3.40
Ca  0.4981  0.0636  0.2355  2 Hg 3.31-3.34, 5 Ca 3.56-3.69
Ca  0.4981  0.4364  0.2355  2 Hg 3.31-3.34, 5 Ca 3.56-3.69
Ca  0.5019  0.5636  0.7645  2 Hg 3.31-3.34, 5 Ca 3.56-3.69
Ca  0.5019  0.9364  0.7645  2 Hg 3.31-3.34, 5 Ca 3.56-3.69
Ca  0.5130  0.2500  0.0034  3 Hg 3.08-3.39, 1 Ca 3.40
Ca  0.7500  0.2500  0.5127  4 Hg 3.30-3.70, 2 Ca 3.63
Ca  0.7500  0.6207  0.2937  1 Hg 3.11
Ca  0.7500  0.8793  0.2937  1 Hg 3.11
Ca  0.9870  0.2500  0.0034  3 Hg 3.08-3.39, 1 Ca 3.40
Ca  0.9981  0.5636  0.7645  2 Hg 3.31-3.34, 5 Ca 3.56-3.69
Ca  0.9981  0.9364  0.7645  2 Hg 3.31-3.34, 5 Ca 3.56-3.69
Hg  0.2500  0.2500  0.3760  4 Ca 3.08-3.11
Hg  0.2500  0.5967  0.1859  9 Ca 3.30-3.68
Hg  0.2500  0.9033  0.1859  9 Ca 3.30-3.68
Hg  0.7500  0.0967  0.8141  9 Ca 3.30-3.68
Hg  0.7500  0.4033  0.8141  9 Ca 3.30-3.68
Hg  0.7500  0.7500  0.6240  4 Ca 3.08-3.11

Output
**Formation enthalpy at 0 K**: -0.206 eV/atom
**Energy relative to the lowest polymorph listed for this composition**: 0.098 eV per atom
**Calculated total energy**: -1.78 eV/atom

---

The following is a PBE calculation of a geometry-optimized Ca4Hg9 structure, from the Alexandria database.

Lattice parameters (Å, degrees): 11.0994 11.0994 11.0994 90.00 90.00 90.00
Closest atoms and distances in Å follow each position.
Element x y z (fractional)
Ca  0.0386  0.3088  0.3088  10 Hg 3.15-3.48
Ca  0.0386  0.6912  0.6912  10 Hg 3.15-3.48
Ca  0.3088  0.0386  0.3088  10 Hg 3.15-3.48
Ca  0.3088  0.3088  0.0386  10 Hg 3.15-3.48
Ca  0.3088  0.6912  0.9614  10 Hg 3.15-3.48
Ca  0.3088  0.9614  0.6912  10 Hg 3.15-3.48
Ca  0.3626  0.3626  0.6374  10 Hg 3.23-3.36
Ca  0.3626  0.6374  0.3626  10 Hg 3.23-3.36
Ca  0.6374  0.3626  0.3626  10 Hg 3.23-3.36
Ca  0.6374  0.6374  0.6374  10 Hg 3.23-3.36
Ca  0.6912  0.0386  0.6912  10 Hg 3.15-3.48
Ca  0.6912  0.3088  0.9614  10 Hg 3.15-3.48
Ca  0.6912  0.6912  0.0386  10 Hg 3.15-3.48
Ca  0.6912  0.9614  0.3088  10 Hg 3.15-3.48
Ca  0.9614  0.3088  0.6912  10 Hg 3.15-3.48
Ca  0.9614  0.6912  0.3088  10 Hg 3.15-3.48
Hg  0.0000  0.0000  0.3462  9 Hg 3.07-3.43
Hg  0.0000  0.0000  0.6538  9 Hg 3.07-3.43
Hg  0.0000  0.3462  0.0000  9 Hg 3.07-3.43
Hg  0.0000  0.6538  0.0000  9 Hg 3.07-3.43
Hg  0.1073  0.1073  0.1073  9 Hg 3.14-3.51, 3 Ca 3.25
Hg  0.1073  0.8927  0.8927  9 Hg 3.14-3.51, 3 Ca 3.25
Hg  0.1400  0.5000  0.5000  3 Hg 3.11-3.34, 4 Ca 3.20-3.28
Hg  0.1731  0.1731  0.5248  4 Hg 3.07-3.36, 5 Ca 3.20-3.35
Hg  0.1731  0.4752  0.8269  4 Hg 3.07-3.36, 5 Ca 3.20-3.35
Hg  0.1731  0.5248  0.1731  4 Hg 3.07-3.36, 5 Ca 3.20-3.35
Hg  0.1731  0.8269  0.4752  4 Hg 3.07-3.36, 5 Ca 3.20-3.35
Hg  0.1878  0.1878  0.8122  4 Ca 3.15-3.36, 9 Hg 3.20-3.51
Hg  0.1878  0.8122  0.1878  4 Ca 3.15-3.36, 9 Hg 3.20-3.51
Hg  0.3421  0.3421  0.3421  6 Ca 3.29-3.41, 6 Hg 3.34
Hg  0.3421  0.6579  0.6579  6 Ca 3.29-3.41, 6 Hg 3.34
Hg  0.3462  0.0000  0.0000  9 Hg 3.07-3.43
Hg  0.4752  0.1731  0.8269  4 Hg 3.07-3.36, 5 Ca 3.20-3.35
Hg  0.4752  0.8269  0.1731  4 Hg 3.07-3.36, 5 Ca 3.20-3.35
Hg  0.5000  0.1400  0.5000  3 Hg 3.11-3.34, 4 Ca 3.20-3.28
Hg  0.5000  0.5000  0.1400  3 Hg 3.11-3.34, 4 Ca 3.20-3.28
Hg  0.5000  0.5000  0.8600  3 Hg 3.11-3.34, 4 Ca 3.20-3.28
Hg  0.5000  0.8600  0.5000  3 Hg 3.11-3.34, 4 Ca 3.20-3.28
Hg  0.5248  0.1731  0.1731  4 Hg 3.07-3.36, 5 Ca 3.20-3.35
Hg  0.5248  0.8269  0.8269  4 Hg 3.07-3.36, 5 Ca 3.20-3.35
Hg  0.6538  0.0000  0.0000  9 Hg 3.07-3.43
Hg  0.6579  0.3421  0.6579  6 Ca 3.29-3.41, 6 Hg 3.34
Hg  0.6579  0.6579  0.3421  6 Ca 3.29-3.41, 6 Hg 3.34
Hg  0.8122  0.1878  0.1878  4 Ca 3.15-3.36, 9 Hg 3.20-3.51
Hg  0.8122  0.8122  0.8122  4 Ca 3.15-3.36, 9 Hg 3.20-3.51
Hg  0.8269  0.1731  0.4752  4 Hg 3.07-3.36, 5 Ca 3.20-3.35
Hg  0.8269  0.4752  0.1731  4 Hg 3.07-3.36, 5 Ca 3.20-3.35
Hg  0.8269  0.5248  0.8269  4 Hg 3.07-3.36, 5 Ca 3.20-3.35
Hg  0.8269  0.8269  0.5248  4 Hg 3.07-3.36, 5 Ca 3.20-3.35
Hg  0.8600  0.5000  0.5000  3 Hg 3.11-3.34, 4 Ca 3.20-3.28
Hg  0.8927  0.1073  0.8927  9 Hg 3.14-3.51, 3 Ca 3.25
Hg  0.8927  0.8927  0.1073  9 Hg 3.14-3.51, 3 Ca 3.25

Output
**Formation enthalpy at 0 K**: -0.404 eV/atom
**Calculated total energy**: -1.23 eV/atom

---

The following is a PBE calculation of a geometry-optimized Ca3Hg structure, from the Alexandria database.

Lattice parameters (Å, degrees): 5.6418 5.6418 5.6418 60.00 60.00 60.00
Closest atoms and distances in Å follow each position.
Element x y z (fractional)
Ca  0.0000  0.0000  0.0000  8 Ca 3.45
Ca  0.2500  0.2500  0.2500  4 Hg 3.45, 4 Ca 3.45
Ca  0.7500  0.7500  0.7500  4 Hg 3.45, 4 Ca 3.45
Hg  0.5000  0.5000  0.5000  8 Ca 3.45

Output
**Formation enthalpy at 0 K**: -0.151 eV/atom
**Energy relative to the lowest polymorph listed for this composition**: 0.154 eV per atom
**Calculated total energy**: -1.73 eV/atom

---

The following is a PBE calculation of a geometry-optimized Ca3Hg structure, from the Alexandria database.

Lattice parameters (Å, degrees): 6.4012 6.4012 6.4012 134.09 134.09 66.94
Closest atoms and distances in Å follow each position.
Element x y z (fractional)
Ca  0.0000  0.0000  0.0000  4 Hg 3.53, 8 Ca 3.66
Ca  0.2500  0.7500  0.5000  8 Ca 3.53-3.66, 4 Hg 3.66
Ca  0.7500  0.2500  0.5000  8 Ca 3.53-3.66, 4 Hg 3.66
Hg  0.5000  0.5000  0.0000  12 Ca 3.53-3.66

Output
**Formation enthalpy at 0 K**: -0.156 eV/atom
**Energy relative to the lowest polymorph listed for this composition**: 0.148 eV per atom
**Calculated total energy**: -1.73 eV/atom

---

The following is a PBE calculation of a geometry-optimized Ca6Hg5 structure, from the Alexandria database.

Lattice parameters (Å, degrees): 9.2335 9.2335 5.3616 106.66 106.66 48.11
Closest atoms and distances in Å follow each position.
Element x y z (fractional)
Ca  0.0831  0.5842  0.3336  7 Hg 3.26-3.29
Ca  0.2486  0.7514  0.0000  6 Hg 3.25-3.27
Ca  0.4158  0.9169  0.6664  7 Hg 3.26-3.29
Ca  0.5842  0.0831  0.3336  7 Hg 3.26-3.29
Ca  0.7514  0.2486  0.0000  6 Hg 3.25-3.27
Ca  0.9169  0.4158  0.6664  7 Hg 3.26-3.29
Hg  0.0000  0.0000  0.5000  8 Ca 3.26-3.27
Hg  0.1677  0.1677  0.1672  8 Ca 3.26-3.28
Hg  0.3349  0.3349  0.8350  8 Ca 3.25-3.29
Hg  0.6651  0.6651  0.1650  8 Ca 3.25-3.29
Hg  0.8323  0.8323  0.8328  8 Ca 3.26-3.28

Output
**Formation enthalpy at 0 K**: -0.479 eV/atom
**Calculated total energy**: -1.71 eV/atom

---

The following is a PBE calculation of a geometry-optimized Ca3Hg structure, from the Alexandria database.

Lattice parameters (Å, degrees): 3.9802 3.9802 10.7462 90.00 90.00 120.00
Closest atoms and distances in Å follow each position.
Element x y z (fractional)
Ca  0.0000  0.0000  0.0000  12 Ca 3.93-3.98
Ca  0.3333  0.6667  0.2971  3 Hg 3.17
Ca  0.3333  0.6667  0.7029  3 Hg 3.17
Hg  0.0000  0.0000  0.5000  6 Ca 3.17

Output
**Formation enthalpy at 0 K**: -0.206 eV/atom
**Energy relative to the lowest polymorph listed for this composition**: 0.098 eV per atom
**Calculated total energy**: -1.78 eV/atom

---

The following is a PBE calculation of a geometry-optimized Ca3Hg structure, from the Alexandria database.

Lattice parameters (Å, degrees): 7.2364 7.2364 5.7346 90.00 90.00 120.00
Closest atoms and distances in Å follow each position.
Element x y z (fractional)
Ca  0.1727  0.3453  0.2500  8 Ca 3.49-3.75, 4 Hg 3.50-3.62
Ca  0.1727  0.8273  0.2500  8 Ca 3.49-3.75, 4 Hg 3.50-3.62
Ca  0.3453  0.1727  0.7500  8 Ca 3.49-3.75, 4 Hg 3.50-3.62
Ca  0.6547  0.8273  0.2500  8 Ca 3.49-3.75, 4 Hg 3.50-3.62
Ca  0.8273  0.1727  0.7500  8 Ca 3.49-3.75, 4 Hg 3.50-3.62
Ca  0.8273  0.6547  0.7500  8 Ca 3.49-3.75, 4 Hg 3.50-3.62
Hg  0.3333  0.6667  0.7500  12 Ca 3.50-3.62
Hg  0.6667  0.3333  0.2500  12 Ca 3.50-3.62

Output
**Formation enthalpy at 0 K**: -0.196 eV/atom
**Energy relative to the lowest polymorph listed for this composition**: 0.108 eV per atom
**Calculated total energy**: -1.77 eV/atom

---

The following is a PBE calculation of a geometry-optimized Ca3Hg structure, from the Alexandria database.

Lattice parameters (Å, degrees): 6.4556 6.4556 6.4556 90.00 90.00 90.00
Closest atoms and distances in Å follow each position.
Element x y z (fractional)
Ca  0.0000  0.2500  0.5000  2 Ca 3.23, 4 Hg 3.61
Ca  0.0000  0.7500  0.5000  2 Ca 3.23, 4 Hg 3.61
Ca  0.2500  0.5000  0.0000  2 Ca 3.23, 4 Hg 3.61
Ca  0.5000  0.0000  0.2500  2 Ca 3.23, 4 Hg 3.61
Ca  0.5000  0.0000  0.7500  2 Ca 3.23, 4 Hg 3.61
Ca  0.7500  0.5000  0.0000  2 Ca 3.23, 4 Hg 3.61
Hg  0.0000  0.0000  0.0000  12 Ca 3.61
Hg  0.5000  0.5000  0.5000  12 Ca 3.61

Output
**Formation enthalpy at 0 K**: -0.123 eV/atom
**Energy relative to the lowest polymorph listed for this composition**: 0.181 eV per atom
**Calculated total energy**: -1.70 eV/atom